No. 1
Crystalline Al2CoSi at its relaxed geometry. Source: Alexandria via LeMat-Bulk, functional PBE.

Structure (POSCAR):
```
Al2CoSi
1.0
4.2220 -1.4244 0.0000
4.2220 1.4244 0.0000
-0.6628 0.0000 4.4107
Al Co Si
2 1 1
Cartesian
1.8767 0.0000 1.0528
5.9045 0.0000 3.3578
4.2220 0.0000 0.0000
-0.3314 0.0000 2.2053
```

## Properties
The value obtained for the formation energy (no corrections) is -116 meV per atom.

No. 2
Crystalline AlCo2Si2 at its relaxed geometry. Source: Alexandria via LeMat-Bulk, functional PBE.

Structure (POSCAR):
```
AlCo2Si2
1.0
6.7169 0.0000 0.0000
0.0000 6.7169 0.0000
0.0000 0.0000 2.6626
Al Co Si
2 4 4
Cartesian
0.0000 0.0000 0.0000
3.3585 3.3585 0.0000
0.9394 2.4191 0.0000
2.4191 5.7775 0.0000
4.2979 0.9394 0.0000
5.7775 4.2979 0.0000
1.0421 4.4005 1.3313
2.3164 1.0421 1.3313
4.4005 5.6749 1.3313
5.6749 2.3164 1.3313
```

## Properties
The value obtained for the formation energy (no corrections) is -321 meV per atom.

No. 3
Crystalline Al3Co4Si at its relaxed geometry. Source: Alexandria via LeMat-Bulk, functional PBE.

Structure (POSCAR):
```
Al3Co4Si
1.0
2.8298 0.0000 0.0000
0.0000 2.8298 0.0000
0.0000 0.0000 11.3850
Al Co Si
3 4 1
Cartesian
0.0000 0.0000 0.0000
0.0000 0.0000 2.8676
0.0000 0.0000 8.5174
1.4149 1.4149 1.4504
1.4149 1.4149 4.3881
1.4149 1.4149 6.9969
1.4149 1.4149 9.9346
0.0000 0.0000 5.6925
```

## Properties
The value obtained for the formation energy (no corrections) is -587 meV per atom.

No. 4
Crystalline Al2CoSi at its relaxed geometry. Source: Alexandria via LeMat-Bulk, functional PBE.

Structure (POSCAR):
```
Al2CoSi
1.0
3.7882 0.0000 0.0000
0.0000 3.7882 0.0000
0.0000 0.0000 3.6317
Al Co Si
2 1 1
Cartesian
0.0000 1.8941 0.0000
1.8941 0.0000 0.0000
0.0000 0.0000 1.8158
1.8941 1.8941 1.8158
```

## Properties
The value obtained for the formation energy (no corrections) is -116 meV per atom.

No. 5
Crystalline Al2CoSi at its relaxed geometry. Source: Alexandria via LeMat-Bulk, functional PBE.

Structure (POSCAR):
```
Al2CoSi
1.0
2.7286 0.0000 0.0000
0.0000 2.7286 0.0000
0.0000 0.0000 7.2586
Al Co Si
2 1 1
Cartesian
0.0000 0.0000 1.5417
0.0000 0.0000 5.7169
1.3643 1.3643 0.0000
1.3643 1.3643 3.6293
```

## Properties
The value obtained for the formation energy (no corrections) is -171 meV per atom.

No. 6
Crystalline Al2Co2Si at its relaxed geometry. Source: Alexandria via LeMat-Bulk, functional PBE.

Structure (POSCAR):
```
Al2Co2Si
1.0
5.8614 0.0000 0.0000
0.0000 5.8614 0.0000
0.0000 0.0000 3.7319
Al Co Si
4 4 2
Cartesian
0.9323 1.9984 0.0000
1.9984 4.9291 0.0000
3.8630 0.9323 0.0000
4.9291 3.8630 0.0000
0.8842 3.8149 1.8659
2.0465 0.8842 1.8659
3.8149 4.9773 1.8659
4.9773 2.0465 1.8659
0.0000 0.0000 1.8659
2.9307 2.9307 1.8659
```

## Properties
For the offset from the most stable computed form, the calculation gives 0.74 eV/f.u. The value obtained for the formation energy (no corrections) is -397 meV per atom.

No. 7
Crystalline Al2Co3Si at its relaxed geometry. Source: Alexandria via LeMat-Bulk, functional PBE.

Structure (POSCAR):
```
Al2Co3Si
1.0
2.8207 0.0000 0.0000
0.0000 2.8207 0.0000
0.0000 0.0000 8.5456
Al Co Si
2 3 1
Cartesian
0.0000 0.0000 1.4321
0.0000 0.0000 7.1135
1.4104 1.4104 0.0000
1.4104 1.4104 2.9638
1.4104 1.4104 5.5818
0.0000 0.0000 4.2728
```

## Properties
The value obtained for the formation energy (no corrections) is -584 meV per atom.

No. 8
Crystalline Al3Co3Si at its relaxed geometry. Source: Alexandria via LeMat-Bulk, functional PBE.

Structure (POSCAR):
```
Al3Co3Si
1.0
3.9407 2.2752 1.6520
-3.9407 2.2752 1.6520
0.0000 -4.5504 1.6520
Al Co Si
3 3 1
Cartesian
-1.9704 -1.1376 1.6520
-1.9704 1.1376 3.3039
0.0000 2.2752 1.6520
-3.9407 0.0000 2.4779
-1.9704 1.1376 0.8260
1.9704 1.1376 0.8260
0.0000 0.0000 0.0000
```

## Properties
The value obtained for the formation energy (no corrections) is -483 meV per atom.

No. 9
Crystalline AlCo2Si2 at its relaxed geometry. Source: Alexandria via LeMat-Bulk, functional PBE.

Structure (POSCAR):
```
AlCo2Si2
1.0
6.8466 0.0000 0.0000
0.0000 6.8466 0.0000
0.0000 0.0000 2.5618
Al Co Si
2 4 4
Cartesian
0.0000 0.0000 0.0000
3.4233 3.4233 0.0000
1.1607 2.2626 1.2809
2.2626 5.6859 1.2809
4.5840 1.1607 1.2809
5.6859 4.5840 1.2809
0.8704 4.2937 0.0000
2.5529 0.8704 0.0000
4.2937 5.9762 0.0000
5.9762 2.5529 0.0000
```

## Properties
The value obtained for the formation energy (no corrections) is -291 meV per atom.

No. 10
Crystalline Al3Co3Si4 at its relaxed geometry. Source: Alexandria via LeMat-Bulk, functional PBE.

Structure (POSCAR):
```
Al3Co3Si4
1.0
-4.0516 4.0516 4.0516
4.0516 -4.0516 4.0516
4.0516 4.0516 -4.0516
Al Co Si
6 6 8
Cartesian
4.0516 2.0258 0.0000
4.0516 0.0000 2.0258
2.0258 4.0516 0.0000
2.0258 0.0000 4.0516
0.0000 4.0516 2.0258
0.0000 2.0258 4.0516
2.7142 0.0000 0.0000
5.3890 0.0000 0.0000
0.0000 2.7142 0.0000
0.0000 0.0000 2.7142
0.0000 5.3890 0.0000
0.0000 0.0000 5.3890
1.3087 1.3087 -1.3087
2.7429 2.7429 -2.7429
1.3087 -1.3087 1.3087
2.7429 -2.7429 2.7429
-1.3087 1.3087 1.3087
1.3087 1.3087 1.3087
-2.7429 2.7429 2.7429
2.7429 2.7429 2.7429
```

## Properties
The value obtained for the formation energy (no corrections) is -460 meV per atom.

No. 11
Crystalline Al2CoSi at its relaxed geometry. Source: Alexandria via LeMat-Bulk, functional PBE.

Structure (POSCAR):
```
Al2CoSi
1.0
2.8955 0.0000 0.0000
0.0000 3.4820 0.0000
0.0000 0.0000 5.2104
Al Co Si
2 1 1
Cartesian
0.0000 0.0000 1.2548
0.0000 0.0000 3.9557
1.4478 1.7410 0.0000
1.4478 1.7410 2.6052
```

## Properties
The value obtained for the formation energy (no corrections) is -177 meV per atom.

No. 12
Crystalline AlCo3Si2 at its relaxed geometry. Source: Alexandria via LeMat-Bulk, functional PBE.

Structure (POSCAR):
```
AlCo3Si2
1.0
2.7863 0.0000 0.0000
0.0000 2.7863 0.0000
0.0000 0.0000 8.5516
Al Co Si
1 3 2
Cartesian
0.0000 0.0000 0.0000
1.3932 1.3932 1.5863
1.3932 1.3932 4.2758
1.3932 1.3932 6.9653
0.0000 0.0000 2.8615
0.0000 0.0000 5.6901
```

## Properties
The value obtained for the formation energy (no corrections) is -525 meV per atom.

No. 13
Crystalline Al2CoSi at its relaxed geometry. Source: Alexandria via LeMat-Bulk, functional PBE.

Structure (POSCAR):
```
Al2CoSi
1.0
3.0323 0.0000 0.0000
0.0000 3.9055 0.0000
-1.5089 0.0000 4.5969
Al Co Si
2 1 1
Cartesian
0.0000 0.0000 0.0000
0.0013 1.9528 2.9712
1.5155 1.9528 0.8667
1.5161 0.0000 2.0992
```

## Properties
The value obtained for the formation energy (no corrections) is -261 meV per atom.

No. 14
Crystalline AlCo3Si at its relaxed geometry. Source: Alexandria via LeMat-Bulk, functional PBE.

Structure (POSCAR):
```
AlCo3Si
1.0
4.1718 0.0000 0.0000
0.0000 4.1718 0.0000
0.0000 0.0000 4.1718
Al Co Si
1 3 1
Cartesian
0.0000 0.0000 0.0000
0.0000 0.0000 2.0859
0.0000 2.0859 0.0000
2.0859 0.0000 0.0000
2.0859 2.0859 2.0859
```

## Properties
For the offset from the most stable computed form, the calculation gives 3.31 eV/f.u. The value obtained for the formation energy (no corrections) is 1001 meV per atom.

No. 15
Crystalline AlCoSi at its relaxed geometry. Source: Alexandria via LeMat-Bulk, functional PBE.

Structure (POSCAR):
```
AlCoSi
1.0
0.0000 2.7809 2.7809
2.7809 0.0000 2.7809
2.7809 2.7809 0.0000
Al Co Si
1 1 1
Cartesian
0.0000 0.0000 0.0000
2.7809 2.7809 2.7809
4.1713 4.1713 4.1713
```

## Properties
The value obtained for the formation energy (no corrections) is -78 meV per atom.

No. 16
Crystalline Al2CoSi at its relaxed geometry. Source: Alexandria via LeMat-Bulk, functional PBE.

Structure (POSCAR):
```
Al2CoSi
1.0
-1.8697 1.8697 3.7433
1.8697 -1.8697 3.7433
1.8697 1.8697 -3.7433
Al Co Si
2 1 1
Cartesian
1.8697 0.0000 1.8717
0.0000 1.8697 1.8717
0.0000 0.0000 0.0000
0.0000 0.0000 3.7433
```

## Properties
The value obtained for the formation energy (no corrections) is -143 meV per atom.

No. 17
Crystalline Al2CoSi at its relaxed geometry. Source: Alexandria via LeMat-Bulk, functional PBE.

Structure (POSCAR):
```
Al2CoSi
1.0
-1.3141 2.0202 5.4665
1.3141 -2.0202 5.4665
1.3141 2.0202 -5.4665
Al Co Si
2 1 1
Cartesian
0.0000 0.0000 0.0000
0.0000 2.0202 2.1078
1.3141 0.0000 2.1434
0.0000 0.0000 4.0983
```

## Properties
The value obtained for the formation energy (no corrections) is -251 meV per atom.

No. 18
Crystalline Al2CoSi at its relaxed geometry. Source: Alexandria via LeMat-Bulk, functional PBE.

Structure (POSCAR):
```
Al2CoSi
1.0
2.7238 0.0000 0.0000
0.0000 2.7238 0.0000
0.0000 0.0000 7.2827
Al Co Si
2 1 1
Cartesian
0.0000 0.0000 0.0000
1.3619 1.3619 2.1593
0.0000 0.0000 3.8082
1.3619 1.3619 5.1782
```

## Properties
The value obtained for the formation energy (no corrections) is -227 meV per atom.

No. 19
Crystalline Al2CoSi at its relaxed geometry. Source: Alexandria via LeMat-Bulk, functional PBE.

Structure (POSCAR):
```
Al2CoSi
1.0
-4.4076 4.4076 2.1379
4.4076 -4.4076 2.1379
4.4076 4.4076 -2.1379
Al Co Si
4 2 2
Cartesian
0.0000 0.0000 0.0000
2.2038 2.2038 -1.0689
2.2038 -2.2038 1.0689
0.0000 4.4076 0.0000
4.4076 -2.2038 1.6034
0.0000 6.6115 0.5345
4.4076 2.2038 0.5345
0.0000 2.2038 1.6034
```

## Properties
The value obtained for the formation energy (no corrections) is 28 meV per atom.

No. 20
Crystalline AlCoSi at its relaxed geometry. Source: Alexandria via LeMat-Bulk, functional PBE.

Structure (POSCAR):
```
AlCoSi
1.0
-1.3599 1.3599 5.0723
1.3599 -1.3599 5.0723
1.3599 1.3599 -5.0723
Al Co Si
1 1 1
Cartesian
0.0000 0.0000 0.0000
0.0000 0.0000 6.7219
0.0000 0.0000 3.0266
```

## Properties
The value obtained for the formation energy (no corrections) is -260 meV per atom.